Record 1
A geometry-optimized LiBe2In2Pt5 structure, computed with PBE.

Values from the calculation:
Symmetry: P4/mbm
Formation energy: -0.5595 eV per atom
VASP energy: -101.285 eV for the cell shown

Unit cell a=3.482 b=9.216 c=9.216 alpha=90.00 beta=90.00 gamma=90.00
Positions (direct):
In 0.000 0.174 0.326
Be 0.000 0.627 0.873
Pt 0.500 0.705 0.426
Be 0.000 0.373 0.127
Pt 0.500 0.795 0.926
Pt 0.500 0.426 0.295
Pt 0.500 0.295 0.574
Pt 0.500 0.500 0.000
Pt 0.500 0.074 0.795
Be 0.000 0.127 0.627
In 0.000 0.826 0.674
Li 0.000 0.000 0.000
Pt 0.500 0.205 0.074
In 0.000 0.326 0.826
In 0.000 0.674 0.174
Li 0.000 0.500 0.500
Be 0.000 0.873 0.373
Pt 0.500 0.574 0.705
Pt 0.500 0.926 0.205
Pt 0.500 0.000 0.500



Record 2
A geometry-optimized Li2Be2InPt5 structure, computed with PBE.

Values from the calculation:
Symmetry: P4/mbm
Formation energy: -0.6018 eV per atom
VASP energy: -100.481 eV for the cell shown

Unit cell a=3.397 b=9.367 c=9.367 alpha=90.00 beta=90.00 gamma=90.00
Positions (direct):
Pt 0.500 0.573 0.717
Be 0.000 0.376 0.124
Li 0.000 0.174 0.326
Be 0.000 0.124 0.624
Li 0.000 0.826 0.674
Be 0.000 0.624 0.876
Pt 0.500 0.073 0.783
Pt 0.500 0.500 0.000
Pt 0.500 0.427 0.283
Pt 0.500 0.927 0.217
Pt 0.500 0.217 0.073
Be 0.000 0.876 0.376
Li 0.000 0.326 0.826
Pt 0.500 0.717 0.427
In 0.000 0.000 0.000
Pt 0.500 0.000 0.500
In 0.000 0.500 0.500
Li 0.000 0.674 0.174
Pt 0.500 0.783 0.927
Pt 0.500 0.283 0.573



Record 3
A geometry-optimized LiBeIn2S structure, computed with PBE.

Values from the calculation:
Symmetry: P4/mmm
VASP energy: -14.662 eV for the cell shown

Unit cell a=5.923 b=3.724 c=5.923 alpha=90.00 beta=90.00 gamma=90.00
Positions (direct):
In 0.000 0.000 0.500
S 0.000 0.000 0.000
Li 0.500 0.500 0.500
Be 0.000 0.500 0.000
In 0.500 0.000 0.000



Record 4
A geometry-optimized LiSmBeIn structure, computed with PBE.

Values from the calculation:
Symmetry: F-43m
Formation energy: -0.1607 eV per atom
VASP energy: -13.740 eV for the cell shown

Unit cell a=4.731 b=4.731 c=4.731 alpha=60.00 beta=60.00 gamma=60.00
Positions (direct):
Be 0.000 0.000 0.000
Sm 0.750 0.750 0.750
In 0.250 0.250 0.250
Li 0.500 0.500 0.500



Record 5
A geometry-optimized LiTa2BeIn structure, computed with PBE.

Values from the calculation:
Symmetry: P4/mmm
Formation energy: 1.9158 eV per atom
VASP energy: -22.505 eV for the cell shown

Unit cell a=5.093 b=4.333 c=5.093 alpha=90.00 beta=90.00 gamma=90.00
Positions (direct):
Ta 0.500 0.000 0.000
Li 0.000 0.500 0.000
Be 0.500 0.500 0.500
In 0.000 0.000 0.000
Ta 0.000 0.000 0.500



Record 6
A geometry-optimized LiTmBeIn structure, computed with PBE.

Values from the calculation:
Symmetry: F-43m
Formation energy: -0.1144 eV per atom
VASP energy: -13.307 eV for the cell shown

Unit cell a=4.627 b=4.627 c=4.627 alpha=60.00 beta=60.00 gamma=60.00
Positions (direct):
Li 0.000 0.000 0.000
Be 0.500 0.500 0.500
Tm 0.250 0.250 0.250
In 0.750 0.750 0.750



Record 7
A geometry-optimized LiBeZnIn structure, computed with PBE.

Values from the calculation:
Symmetry: F-43m
Formation energy: 0.0726 eV per atom
VASP energy: -9.362 eV for the cell shown

Unit cell a=4.384 b=4.384 c=4.384 alpha=60.00 beta=60.00 gamma=60.00
Positions (direct):
Li 0.000 0.000 0.000
In 0.250 0.250 0.250
Zn 0.750 0.750 0.750
Be 0.500 0.500 0.500



Record 8
A geometry-optimized LuBeIn structure, computed with PBE.

Values from the calculation:
Symmetry: F-43m
Formation energy: -0.1666 eV per atom
VASP energy: -11.486 eV for the cell shown

Unit cell a=4.441 b=4.441 c=4.441 alpha=60.00 beta=60.00 gamma=60.00
Positions (direct):
In 0.000 0.000 0.000
Be 0.250 0.250 0.250
Lu 0.500 0.500 0.500



The lowest VASP energy belongs to which entry? LiBe2In2Pt5



Which formula does entry 5 have? LiTa2BeIn